(1)
{"formula": "Re2Si", "functional": "PBE-GGA", "state": "relaxed", "lattice_angstrom": [[-1.5681, -2.7423, 2.3833], [2.2082, -2.9772, -1.9726], [4.5453, 0.7886, 3.8980]], "species": ["Re", "Re", "Re", "Re", "Si", "Si"], "frac_coords": [[0.7704, 0.0000, 0.3733], [0.2296, 0.0000, 0.6267], [0.2704, 0.5000, 0.1267], [0.7296, 0.5000, 0.8733], [0.0000, 0.0000, 0.0000], [0.5000, 0.5000, 0.5000]], "e_above_lowest_polymorph_ev_per_fu": 2.75, "rho_g_cm3": 13.3, "e_form_raw_ev_per_atom": 0.662}

---

(2)
{"formula": "ReSi2", "functional": "PBE-GGA", "state": "relaxed", "lattice_angstrom": [[0.0000, 3.3918, 3.3918], [3.3918, 0.0000, 3.3918], [3.3918, 3.3918, 0.0000]], "species": ["Re", "Re", "Si", "Si", "Si", "Si"], "frac_coords": [[0.5000, 0.5000, 0.5000], [0.7500, 0.7500, 0.7500], [0.6250, 0.1250, 0.1250], [0.1250, 0.6250, 0.1250], [0.1250, 0.1250, 0.6250], [0.1250, 0.1250, 0.1250]], "rho_g_cm3": 10.3, "e_form_raw_ev_per_atom": 0.668}

---

(3)
{"formula": "Re4Si3", "functional": "PBE-GGA", "state": "relaxed", "lattice_angstrom": [[2.3676, -4.1008, 0.0000], [2.3676, 4.1008, 0.0000], [0.0000, 0.0000, 4.9184]], "species": ["Re", "Re", "Re", "Re", "Si", "Si", "Si"], "frac_coords": [[0.0000, 0.0000, 0.2573], [0.0000, 0.0000, 0.7427], [0.6667, 0.3333, 0.5000], [0.3333, 0.6667, 0.5000], [0.0000, 0.5000, 0.0000], [0.5000, 0.5000, 0.0000], [0.5000, 0.0000, 0.0000]], "rho_g_cm3": 14.4, "e_form_raw_ev_per_atom": 0.355}

---

(4)
{"formula": "ReSi3", "functional": "PBE-GGA", "state": "relaxed", "lattice_angstrom": [[4.1620, 0.0000, 0.0000], [0.0000, 4.1620, 0.0000], [0.0000, 0.0000, 3.1592]], "species": ["Re", "Si", "Si", "Si"], "frac_coords": [[0.0000, 0.0000, 0.0000], [0.5000, 0.0000, 0.5000], [0.5000, 0.5000, 0.0000], [0.0000, 0.5000, 0.5000]], "rho_g_cm3": 8.2, "e_form_raw_ev_per_atom": 0.380}

---

(5)
{"formula": "Re3Si", "functional": "PBE-GGA", "state": "relaxed", "lattice_angstrom": [[4.9810, 0.0015, 0.0047], [-2.2267, 4.4556, 0.0047], [-2.2267, -3.6034, 2.6206]], "species": ["Re", "Re", "Re", "Si"], "frac_coords": [[0.0000, 0.0000, 0.0000], [0.5000, 0.0000, 0.5000], [0.5000, 0.5000, 0.0000], [0.0000, 0.5000, 0.5000]], "e_above_lowest_polymorph_ev_per_fu": 1.56, "rho_g_cm3": 16.7, "e_form_raw_ev_per_atom": 0.288}

---

(6)
{"formula": "ReSi2", "functional": "PBE-GGA", "state": "relaxed", "lattice_angstrom": [[-2.8628, -0.4219, -2.8720], [2.9014, -0.5393, -2.8129], [-0.0636, -2.8786, 0.4863]], "species": ["Re", "Si", "Si"], "frac_coords": [[0.0000, 0.0000, 0.0000], [0.0000, 0.5000, 0.5000], [0.5000, 0.0000, 0.5000]], "rho_g_cm3": 8.3, "e_form_raw_ev_per_atom": 0.258}

---

Please write out number 3 again, unchanged.
{"formula": "Re4Si3", "functional": "PBE-GGA", "state": "relaxed", "lattice_angstrom": [[2.3676, -4.1008, 0.0000], [2.3676, 4.1008, 0.0000], [0.0000, 0.0000, 4.9184]], "species": ["Re", "Re", "Re", "Re", "Si", "Si", "Si"], "frac_coords": [[0.0000, 0.0000, 0.2573], [0.0000, 0.0000, 0.7427], [0.6667, 0.3333, 0.5000], [0.3333, 0.6667, 0.5000], [0.0000, 0.5000, 0.0000], [0.5000, 0.5000, 0.0000], [0.5000, 0.0000, 0.0000]], "rho_g_cm3": 14.4, "e_form_raw_ev_per_atom": 0.355}